(1)
Density functional theory data (GGA-PBE) for an optimized crystal structure of Dy12Tl3Hg.

Cell: 4.8390 4.8390 19.3408 Å, 90.00 90.00 90.00°
Last column: nearest neighbours and their distance in Å.
Space group P4/mmm (No. 123)
Unique sites:
Dy 0.0000 0.0000 0.0000 (multiplicity 1)  8 Dy 3.39, 4 Hg 3.42
Dy 0.0000 0.0000 0.2485 (multiplicity 2)  4 Tl 3.42, 8 Dy 3.43-3.44
Dy 0.0000 0.0000 0.5000 (multiplicity 1)  4 Tl 3.42, 8 Dy 3.42
Dy 0.0000 0.5000 0.1228 (multiplicity 4)  2 Hg 3.39, 8 Dy 3.39-3.43, 2 Tl 3.43
Dy 0.0000 0.5000 0.3747 (multiplicity 4)  8 Dy 3.42-3.44, 4 Tl 3.42-3.43
Tl 0.5000 0.5000 0.2488 (multiplicity 2)  12 Dy 3.42-3.43
Tl 0.5000 0.5000 0.5000 (multiplicity 1)  12 Dy 3.42
Hg 0.5000 0.5000 0.0000 (multiplicity 1)  12 Dy 3.39-3.42

Values from the calculation:
Total magnetic moment   3.40 μB/f.u.
DFT formation energy   -0.1737 eV/atom

(2)
Density functional theory data (GGA-PBE) for an optimized crystal structure of Dy11Tl4Hg9.

Cell: 16.1511 21.4060 3.6509 Å, 90.00 90.00 90.00°
Last column: nearest neighbours and their distance in Å.
Space group Cmmm (No. 65)
Unique sites:
Dy 0.0000 0.0000 0.0000 (multiplicity 2)  8 Hg 3.18
Dy 0.0000 0.1830 0.0000 (multiplicity 4)  8 Hg 3.20-3.21
Dy 0.0000 0.3585 0.0000 (multiplicity 4)  4 Tl 3.30, 6 Hg 3.33-3.54, 2 Dy 3.65
Dy 0.2244 0.0000 0.0000 (multiplicity 4)  4 Tl 3.24, 4 Hg 3.27, 1 Dy 3.62
Dy 0.2320 0.1711 0.0000 (multiplicity 8)  6 Hg 3.22-3.29, 2 Tl 3.24, 1 Dy 3.43
Tl 0.1509 0.4177 0.5000 (multiplicity 8)  2 Hg 3.01-3.29, 6 Dy 3.24-3.30
Hg 0.0000 0.5000 0.5000 (multiplicity 2)  4 Tl 3.01
Hg 0.1071 0.0906 0.5000 (multiplicity 8)  8 Dy 3.18-3.27, 1 Hg 3.46
Hg 0.1208 0.2659 0.5000 (multiplicity 8)  8 Dy 3.21-3.33, 1 Tl 3.29

Values from the calculation:
Total magnetic moment   1.20 μB/f.u.
DFT formation energy   -0.3835 eV/atom

The lowest total magnetic moment belongs to which entry?
Dy11Tl4Hg9